Entry 1:
DFT (GGA-PBE) results for a relaxed structure of Lu2HfPt.

## Properties
* density: 14.03 g/cm3
* raw total energy: -6.52 eV/atom

a = 4.947 Å, b = 4.947 Å, c = 4.947 Å
α = 60.00°, β = 60.00°, γ = 60.00°
Each line ends with the local moment (μB).
Atoms (fractional coordinates):
Hf (0.500, 0.500, 0.500)  0.10
Lu (0.000, 0.000, 0.000)  0.05
Lu (0.250, 0.250, 0.250)  0.11
Pt (0.750, 0.750, 0.750)  -0.01

Entry 2:
DFT (GGA-PBE) results for a relaxed structure of NaYPt.

## Properties
* density: 6.71 g/cm3
* energy relative to the lowest polymorph listed for this composition: 0 meV per atom

a = 4.754 Å, b = 4.754 Å, c = 4.754 Å
α = 60.00°, β = 60.00°, γ = 60.00°
Atoms (fractional coordinates):
Na (0.250, 0.250, 0.250)
Pt (0.000, 0.000, 0.000)
Y (0.750, 0.750, 0.750)

Entry 3:
DFT (GGA-PBE) results for a relaxed structure of LiSmNi.

## Properties
* density: 5.68 g/cm3
* energy relative to the lowest polymorph listed for this composition: 0 meV per atom

a = 4.469 Å, b = 4.469 Å, c = 4.469 Å
α = 60.00°, β = 60.00°, γ = 60.00°
Atoms (fractional coordinates):
Li (0.250, 0.250, 0.250)
Ni (0.000, 0.000, 0.000)
Sm (0.750, 0.750, 0.750)

Entry 4:
DFT (GGA-PBE) results for a relaxed structure of TaNbTe5.

## Properties
* density: 7.25 g/cm3
* raw total energy: -5.59 eV/atom

a = 7.388 Å, b = 7.388 Å, c = 16.009 Å
α = 90.00°, β = 90.00°, γ = 151.44°
Each line ends with the local moment (μB).
Atoms (fractional coordinates):
Nb (0.015, 0.985, 0.250)  0.10
Nb (0.985, 0.015, 0.750)  0.10
Ta (0.500, 0.500, 0.000)  0.09
Ta (0.500, 0.500, 0.500)  0.09
Te (0.120, 0.880, 0.077)  -0.01
Te (0.398, 0.602, 0.149)  -0.01
Te (0.665, 0.335, 0.250)  -0.01
Te (0.398, 0.602, 0.351)  -0.01
Te (0.120, 0.880, 0.423)  -0.01
Te (0.880, 0.120, 0.577)  -0.01
Te (0.602, 0.398, 0.649)  -0.01
Te (0.335, 0.665, 0.750)  -0.01
Te (0.602, 0.398, 0.851)  -0.01
Te (0.880, 0.120, 0.923)  -0.01

Entry 5:
DFT (GGA-PBE) results for a relaxed structure of TbNdCuSi3.

## Properties
* density: 6.40 g/cm3
* energy relative to the lowest polymorph listed for this composition: 0 meV per atom

a = 8.124 Å, b = 8.063 Å, c = 5.790 Å
α = 69.61°, β = 68.48°, γ = 41.92°
Atoms (fractional coordinates):
Cu (0.667, 0.667, 0.333)
Cu (0.333, 0.333, 0.667)
Nd (0.244, 0.756, 0.244)
Nd (0.756, 0.244, 0.756)
Si (0.830, 0.830, 0.170)
Si (0.830, 0.340, 0.170)
Si (0.660, 0.170, 0.340)
Si (0.340, 0.830, 0.660)
Si (0.170, 0.660, 0.830)
Si (0.170, 0.170, 0.830)
Tb (0.250, 0.250, 0.250)
Tb (0.750, 0.750, 0.750)

Entry 6:
DFT (GGA-PBE) results for a relaxed structure of Tl4ZnBi2.

## Properties
* density: 8.75 g/cm3
* raw total energy: -2.63 eV/atom

a = 10.844 Å, b = 10.844 Å, c = 10.844 Å
α = 27.92°, β = 27.92°, γ = 27.92°
Atoms (fractional coordinates):
Bi (0.088, 0.088, 0.088)
Bi (0.912, 0.912, 0.912)
Tl (0.203, 0.203, 0.203)
Tl (0.370, 0.370, 0.370)
Tl (0.630, 0.630, 0.630)
Tl (0.797, 0.797, 0.797)
Zn (0.000, 0.000, 0.000)

Entry 7:
DFT (GGA-PBE) results for a relaxed structure of LiSi2Tc2.

## Properties
* density: 6.36 g/cm3
* energy relative to the lowest polymorph listed for this composition: 0 meV per atom

a = 6.594 Å, b = 6.594 Å, c = 3.110 Å
α = 90.00°, β = 90.00°, γ = 90.00°
Atoms (fractional coordinates):
Li (0.000, 0.000, 0.000)
Li (0.500, 0.500, 0.000)
Si (0.637, 0.137, 0.000)
Si (0.137, 0.363, 0.000)
Si (0.863, 0.637, 0.000)
Si (0.363, 0.863, 0.000)
Tc (0.342, 0.158, 0.500)
Tc (0.842, 0.342, 0.500)
Tc (0.158, 0.658, 0.500)
Tc (0.658, 0.842, 0.500)

Entry 8:
DFT (GGA-PBE) results for a relaxed structure of Er3Mg2Ga2GePt.

## Properties
* density: 8.44 g/cm3
* raw total energy: -4.44 eV/atom

a = 4.365 Å, b = 7.084 Å, c = 7.084 Å
α = 120.70°, β = 90.00°, γ = 90.00°
Atoms (fractional coordinates):
Er (0.500, 0.000, 0.411)
Er (0.500, 0.582, 0.582)
Er (0.500, 0.411, 0.000)
Ga (0.000, 0.662, 0.332)
Ga (0.000, 0.332, 0.662)
Ge (0.000, 0.247, 0.247)
Mg (0.000, 0.999, 0.764)
Mg (0.000, 0.764, 0.999)
Pt (0.500, 0.003, 0.003)

Entry 9:
DFT (GGA-PBE) results for a relaxed structure of SmFe2C2.

## Properties
* density: 8.08 g/cm3
* raw total energy: -8.16 eV/atom

a = 5.481 Å, b = 5.481 Å, c = 5.481 Å
α = 143.18°, β = 143.18°, γ = 53.06°
Atoms (fractional coordinates):
C (0.337, 0.337, 0.000)
C (0.663, 0.663, 0.000)
Fe (0.750, 0.250, 0.500)
Fe (0.250, 0.750, 0.500)
Sm (0.000, 0.000, 0.000)

Entry 10:
DFT (GGA-PBE) results for a relaxed structure of NdPd3.

## Properties
* density: 10.47 g/cm3
* raw total energy: -5.86 eV/atom

a = 4.189 Å, b = 4.189 Å, c = 4.191 Å
α = 90.00°, β = 90.00°, γ = 90.00°
Atoms (fractional coordinates):
Nd (0.500, 0.500, 0.000)
Pd (0.000, 0.000, 0.000)
Pd (0.500, 0.000, 0.500)
Pd (0.000, 0.500, 0.500)

Entry 11:
DFT (GGA-PBE) results for a relaxed structure of TbHfAu4.

## Properties
* density: 15.77 g/cm3
* raw total energy: -5.31 eV/atom

a = 3.641 Å, b = 3.641 Å, c = 8.937 Å
α = 90.00°, β = 90.00°, γ = 90.00°
Atoms (fractional coordinates):
Au (0.500, 0.500, 0.159)
Au (0.000, 0.000, 0.325)
Au (0.000, 0.000, 0.675)
Au (0.500, 0.500, 0.841)
Hf (0.000, 0.000, 0.000)
Tb (0.500, 0.500, 0.500)

Entry 12:
DFT (GGA-PBE) results for a relaxed structure of TmSiAg.

## Properties
* density: 7.08 g/cm3
* raw total energy: -4.12 eV/atom

a = 4.658 Å, b = 4.658 Å, c = 4.658 Å
α = 60.00°, β = 60.00°, γ = 60.00°
Atoms (fractional coordinates):
Ag (0.250, 0.250, 0.250)
Si (0.750, 0.750, 0.750)
Tm (0.000, 0.000, 0.000)

Entry 13:
DFT (GGA-PBE) results for a relaxed structure of Hf2Os2O5.

## Properties
* density: 13.54 g/cm3
* energy relative to the lowest polymorph listed for this composition: 325 meV per atom

a = 7.047 Å, b = 3.772 Å, c = 3.772 Å
α = 90.00°, β = 90.00°, γ = 90.00°
Atoms (fractional coordinates):
Hf (0.000, 0.000, 0.000)
Hf (0.500, 0.000, 0.000)
O (0.285, 0.500, 0.000)
O (0.715, 0.500, 0.000)
O (0.285, 0.000, 0.500)
O (0.715, 0.000, 0.500)
O (0.500, 0.500, 0.500)
Os (0.193, 0.500, 0.500)
Os (0.807, 0.500, 0.500)

Entry 14:
DFT (GGA-PBE) results for a relaxed structure of PaAlGe.

## Properties
* density: 7.18 g/cm3
* raw total energy: -5.64 eV/atom

a = 4.764 Å, b = 4.764 Å, c = 4.764 Å
α = 60.00°, β = 60.00°, γ = 60.00°
Atoms (fractional coordinates):
Al (0.250, 0.250, 0.250)
Ge (0.750, 0.750, 0.750)
Pa (0.000, 0.000, 0.000)

Entry 15:
DFT (GGA-PBE) results for a relaxed structure of CsLiFeOs.

## Properties
* density: 8.36 g/cm3
* energy relative to the lowest polymorph listed for this composition: 0 meV per atom

a = 4.769 Å, b = 4.769 Å, c = 4.769 Å
α = 60.00°, β = 60.00°, γ = 60.00°
Atoms (fractional coordinates):
Cs (0.000, 0.000, 0.000)
Fe (0.500, 0.500, 0.500)
Li (0.750, 0.750, 0.750)
Os (0.250, 0.250, 0.250)

Entry 16:
DFT (GGA-PBE) results for a relaxed structure of NaTbNiTe3.

## Properties
* density: 5.85 g/cm3
* energy relative to the lowest polymorph listed for this composition: 8 meV per atom

a = 14.835 Å, b = 4.193 Å, c = 11.374 Å
α = 90.00°, β = 90.00°, γ = 90.00°
Atoms (fractional coordinates):
Na (0.278, 0.250, 0.042)
Na (0.778, 0.250, 0.458)
Na (0.222, 0.750, 0.542)
Na (0.722, 0.750, 0.958)
Ni (0.489, 0.750, 0.104)
Ni (0.989, 0.750, 0.396)
Ni (0.011, 0.250, 0.604)
Ni (0.511, 0.250, 0.896)
Tb (0.983, 0.250, 0.160)
Tb (0.483, 0.250, 0.340)
Tb (0.517, 0.750, 0.660)
Tb (0.017, 0.750, 0.840)
Te (0.119, 0.750, 0.073)
Te (0.585, 0.250, 0.098)
Te (0.353, 0.750, 0.242)
Te (0.853, 0.750, 0.258)
Te (0.085, 0.250, 0.402)
Te (0.619, 0.750, 0.427)
Te (0.381, 0.250, 0.573)
Te (0.915, 0.750, 0.598)
Te (0.147, 0.250, 0.742)
Te (0.647, 0.250, 0.758)
Te (0.415, 0.750, 0.902)
Te (0.881, 0.250, 0.927)

Entry 17:
DFT (GGA-PBE) results for a relaxed structure of TaSbNO.

## Properties
* density: 7.79 g/cm3
* energy relative to the lowest polymorph listed for this composition: 375 meV per atom

a = 4.172 Å, b = 4.172 Å, c = 8.147 Å
α = 90.00°, β = 90.00°, γ = 90.00°
Atoms (fractional coordinates):
N (0.750, 0.750, 0.265)
N (0.250, 0.250, 0.735)
O (0.750, 0.250, 0.000)
O (0.250, 0.750, 0.000)
Sb (0.750, 0.250, 0.500)
Sb (0.250, 0.750, 0.500)
Ta (0.750, 0.750, 0.047)
Ta (0.250, 0.250, 0.953)

Entry 18:
DFT (GGA-PBE) results for a relaxed structure of HgPbF4.

## Properties
* density: 8.98 g/cm3
* raw total energy: -3.79 eV/atom

a = 3.975 Å, b = 3.975 Å, c = 5.665 Å
α = 90.00°, β = 90.00°, γ = 90.00°
Atoms (fractional coordinates):
F (0.500, 0.000, 0.238)
F (0.000, 0.500, 0.238)
F (0.500, 0.000, 0.762)
F (0.000, 0.500, 0.762)
Hg (0.000, 0.000, 0.000)
Pb (0.500, 0.500, 0.500)

Entry 19:
DFT (GGA-PBE) results for a relaxed structure of InCoIrW.

## Properties
* density: 14.84 g/cm3
* energy relative to the lowest polymorph listed for this composition: 198 meV per atom

a = 4.432 Å, b = 4.432 Å, c = 4.432 Å
α = 60.00°, β = 60.00°, γ = 60.00°
Atoms (fractional coordinates):
Co (0.750, 0.750, 0.750)
In (0.000, 0.000, 0.000)
Ir (0.500, 0.500, 0.500)
W (0.250, 0.250, 0.250)

Entry 20:
DFT (GGA-PBE) results for a relaxed structure of GdTm2Ga3NiSn2.

## Properties
* density: 8.59 g/cm3
* raw total energy: -4.62 eV/atom

a = 4.247 Å, b = 7.282 Å, c = 7.282 Å
α = 120.82°, β = 90.00°, γ = 90.00°
Atoms (fractional coordinates):
Ga (0.500, 0.223, 0.223)
Ga (0.500, 0.000, 0.781)
Ga (0.500, 0.781, 0.000)
Gd (0.000, 0.617, 0.617)
Ni (0.000, 0.006, 0.006)
Sn (0.500, 0.669, 0.329)
Sn (0.500, 0.329, 0.669)
Tm (0.000, 0.999, 0.375)
Tm (0.000, 0.375, 0.999)

Entry 21:
DFT (GGA-PBE) results for a relaxed structure of Hf2Tc2W.

## Properties
* density: 13.67 g/cm3
* raw total energy: -10.17 eV/atom

a = 7.545 Å, b = 7.545 Å, c = 7.545 Å
α = 152.82°, β = 152.82°, γ = 38.82°
Atoms (fractional coordinates):
Hf (0.401, 0.401, 0.000)
Hf (0.599, 0.599, 0.000)
Tc (0.750, 0.250, 0.500)
Tc (0.250, 0.750, 0.500)
W (0.000, 0.000, 0.000)

Entry 22:
DFT (GGA-PBE) results for a relaxed structure of CsSiAg3.

## Properties
* density: 5.82 g/cm3
* raw total energy: -2.93 eV/atom

a = 6.891 Å, b = 6.899 Å, c = 7.509 Å
α = 63.79°, β = 63.39°, γ = 66.15°
Atoms (fractional coordinates):
Ag (0.000, 0.500, 0.000)
Ag (0.563, 0.689, 0.492)
Ag (0.189, 0.062, 0.494)
Ag (0.000, 0.500, 0.500)
Ag (0.811, 0.938, 0.506)
Ag (0.437, 0.311, 0.508)
Cs (0.327, 0.825, 0.009)
Cs (0.673, 0.175, 0.991)
Si (0.836, 0.335, 0.381)
Si (0.164, 0.665, 0.619)

Entry 23:
DFT (GGA-PBE) results for a relaxed structure of KNaHfSe3.

## Properties
* density: 4.74 g/cm3
* energy relative to the lowest polymorph listed for this composition: 120 meV per atom

a = 14.876 Å, b = 4.023 Å, c = 11.190 Å
α = 90.00°, β = 90.00°, γ = 90.00°
Atoms (fractional coordinates):
Hf (0.513, 0.750, 0.160)
Hf (0.013, 0.750, 0.340)
Hf (0.987, 0.250, 0.660)
Hf (0.487, 0.250, 0.840)
K (0.237, 0.750, 0.026)
K (0.737, 0.750, 0.474)
K (0.263, 0.250, 0.526)
K (0.763, 0.250, 0.974)
Na (0.025, 0.250, 0.087)
Na (0.525, 0.250, 0.413)
Na (0.475, 0.750, 0.587)
Na (0.975, 0.750, 0.913)
Se (0.410, 0.250, 0.064)
Se (0.908, 0.750, 0.154)
Se (0.630, 0.250, 0.216)
Se (0.130, 0.250, 0.284)
Se (0.408, 0.750, 0.346)
Se (0.910, 0.250, 0.436)
Se (0.090, 0.750, 0.564)
Se (0.592, 0.250, 0.654)
Se (0.870, 0.750, 0.716)
Se (0.370, 0.750, 0.784)
Se (0.092, 0.250, 0.846)
Se (0.590, 0.750, 0.936)

Entry 24:
DFT (GGA-PBE) results for a relaxed structure of Ac2OsO6.

## Properties
* density: 8.84 g/cm3
* raw total energy: -7.86 eV/atom

a = 5.559 Å, b = 6.517 Å, c = 9.031 Å
α = 90.00°, β = 121.74°, γ = 90.00°
Each line ends with the local moment (μB).
Atoms (fractional coordinates):
Ac (0.785, 0.091, 0.243)  0.03
Ac (0.215, 0.591, 0.257)  0.03
Ac (0.785, 0.409, 0.743)  0.03
Ac (0.215, 0.909, 0.757)  0.03
O (0.841, 0.353, 0.043)  0.09
O (0.694, 0.763, 0.059)  0.07
O (0.625, 0.456, 0.240)  0.09
O (0.375, 0.956, 0.260)  0.08
O (0.306, 0.263, 0.441)  0.07
O (0.159, 0.853, 0.457)  0.09
O (0.841, 0.147, 0.543)  0.09
O (0.694, 0.737, 0.559)  0.07
O (0.625, 0.044, 0.740)  0.08
O (0.375, 0.544, 0.760)  0.09
O (0.306, 0.237, 0.941)  0.07
O (0.159, 0.647, 0.957)  0.09
Os (0.500, 0.500, 0.000)  1.25
Os (0.500, 0.000, 0.500)  1.24